one:
Entry from the Alexandria database: SbTe2N2 after structural relaxation (PBE-GGA).

ρ	7.0	g cm⁻³
symmetry	No. 123

The structure in extended XYZ format:
```
5
Lattice="-0.974 -0.442 4.631 3.431 -3.262 0.410 2.815 3.072 0.885" Properties=species:S:1:pos:R:3 pbc="T T T"
N 0.000 0.000 0.000
N 1.408 1.536 0.442
Te -0.487 -0.221 2.315
Te 1.716 -1.631 0.205
Sb 2.636 -0.316 2.963
```


two:
Entry from the Alexandria database: SbTe2N2 after structural relaxation (PBE-GGA).

ρ	4.9	g cm⁻³
symmetry	No. 123

The structure in extended XYZ format:
```
5
Lattice="5.982 0.000 0.000 0.000 5.982 0.000 0.000 0.000 3.872" Properties=species:S:1:pos:R:3 pbc="T T T"
N 0.000 0.000 1.936
N 2.991 2.991 1.936
Te 0.000 2.991 0.000
Te 2.991 0.000 0.000
Sb 0.000 0.000 0.000
```


three:
Entry from the Alexandria database: SbTe2N2 after structural relaxation (PBE-GGA).

ρ	3.6	g cm⁻³
symmetry	No. 2

The structure in extended XYZ format:
```
5
Lattice="-0.063 1.541 3.824 -3.496 -0.330 -2.146 2.274 -12.178 4.869" Properties=species:S:1:pos:R:3 pbc="T T T"
Sb 0.000 0.000 0.000
Te -1.463 -0.778 2.513
Te 0.178 -10.189 4.035
N -1.944 -4.612 4.008
N 0.659 -6.354 2.540
```


Which of them is most stable, and which least? Most stable: three; least stable: two.


one:
Entry from the Alexandria database: TiSbTeN2 after structural relaxation (PBE-GGA).

ρ	5.8	g cm⁻³
symmetry	No. 123

The structure in extended XYZ format:
```
5
Lattice="4.084 0.000 0.000 0.000 4.084 0.000 0.000 0.000 5.603" Properties=species:S:1:pos:R:3 pbc="T T T"
Te 0.000 0.000 2.801
N 0.000 2.042 0.000
N 2.042 0.000 0.000
Ti 0.000 0.000 0.000
Sb 2.042 2.042 2.801
```


two:
Entry from the Alexandria database: TiSbTeN2 after structural relaxation (PBE-GGA).

ρ	5.5	g cm⁻³
symmetry	No. 123

The structure in extended XYZ format:
```
5
Lattice="4.027 0.000 0.000 0.000 4.027 0.000 0.000 0.000 6.104" Properties=species:S:1:pos:R:3 pbc="T T T"
Sb 0.000 0.000 0.000
Te 0.000 0.000 3.052
N 2.013 0.000 0.000
N 0.000 2.013 0.000
Ti 2.013 2.013 3.052
```


Which of them is most stable, and which least? Most stable: one; least stable: two.


one:
Entry from the Alexandria database: TlSbTe2N after structural relaxation (PBE-GGA).

ρ	8.1	g cm⁻³
symmetry	No. 123

The structure in extended XYZ format:
```
5
Lattice="5.082 0.000 0.000 0.000 5.082 0.000 0.000 0.000 4.750" Properties=species:S:1:pos:R:3 pbc="T T T"
Tl 2.541 2.541 2.375
Sb 0.000 0.000 2.375
Te 0.000 2.541 0.000
Te 2.541 0.000 0.000
N 0.000 0.000 0.000
```


two:
Entry from the Alexandria database: TlSbTe2N after structural relaxation (PBE-GGA).

ρ	6.7	g cm⁻³
symmetry	No. 123

The structure in extended XYZ format:
```
5
Lattice="-3.162 4.929 0.703 -1.466 -1.718 5.449 3.423 1.975 1.544" Properties=species:S:1:pos:R:3 pbc="T T T"
Te -0.733 -0.859 2.724
Te -1.581 2.465 0.352
Tl 0.000 0.000 0.000
N 1.711 0.988 0.772
Sb -0.603 2.593 3.848
```


Which of them is most stable, and which least? Most stable: one; least stable: two.


one:
Entry from the Alexandria database: TlSbTe2N after structural relaxation (PBE-GGA).

ρ	5.3	g cm⁻³
symmetry	No. 123

The structure in extended XYZ format:
```
5
Lattice="5.706 0.000 0.000 0.000 5.706 0.000 0.000 0.000 5.766" Properties=species:S:1:pos:R:3 pbc="T T T"
Te 2.853 0.000 0.000
Te 0.000 2.853 0.000
N 2.853 2.853 2.883
Sb 0.000 0.000 2.883
Tl 0.000 0.000 0.000
```


two:
Entry from the Alexandria database: TlSbTe2N after structural relaxation (PBE-GGA).

ρ	6.8	g cm⁻³
symmetry	No. 123

The structure in extended XYZ format:
```
5
Lattice="-5.662 -1.849 -1.364 0.760 -4.931 3.528 -1.390 1.987 3.077" Properties=species:S:1:pos:R:3 pbc="T T T"
Tl -3.146 -2.396 2.621
Te -2.831 -0.924 -0.682
Te 0.380 -2.466 1.764
N -0.695 0.994 1.538
Sb 0.000 0.000 0.000
```


Which of them is most stable, and which least? Most stable: two; least stable: one.


one:
Entry from the Alexandria database: TlSb2TeN after structural relaxation (PBE-GGA).

ρ	8.1	g cm⁻³
symmetry	No. 123

The structure in extended XYZ format:
```
5
Lattice="-3.621 -3.210 -0.321 2.466 -2.442 -3.387 2.192 -2.838 3.642" Properties=species:S:1:pos:R:3 pbc="T T T"
N 0.000 0.000 0.000
Sb -1.810 -1.605 -0.161
Sb 1.233 -1.221 -1.693
Tl 0.519 -4.245 -0.033
Te 1.096 -1.419 1.821
```


two:
Entry from the Alexandria database: TlSb2TeN after structural relaxation (PBE-GGA).

ρ	5.3	g cm⁻³
symmetry	No. 123

The structure in extended XYZ format:
```
5
Lattice="5.706 0.000 0.000 0.000 5.706 0.000 0.000 0.000 5.677" Properties=species:S:1:pos:R:3 pbc="T T T"
Sb 2.853 0.000 0.000
Sb 0.000 2.853 0.000
Tl 0.000 0.000 0.000
N 2.853 2.853 2.839
Te 0.000 0.000 2.839
```


Which of them is most stable, and which least? Most stable: one; least stable: two.


one:
Entry from the Alexandria database: VSb2TeN after structural relaxation (PBE-GGA).

ρ	5.8	g cm⁻³
symmetry	No. 123

The structure in extended XYZ format:
```
5
Lattice="5.023 0.000 0.000 0.000 5.023 0.000 0.000 0.000 4.968" Properties=species:S:1:pos:R:3 pbc="T T T"
V 0.000 0.000 0.000
Sb 2.511 0.000 0.000
Sb 0.000 2.511 0.000
N 2.511 2.511 2.484
Te 0.000 0.000 2.484
```


two:
Entry from the Alexandria database: VSb2TeN after structural relaxation (PBE-GGA).

ρ	7.2	g cm⁻³
symmetry	No. 123

The structure in extended XYZ format:
```
5
Lattice="-0.862 -4.071 2.146 -0.674 -2.048 -4.156 4.452 -1.051 -0.204" Properties=species:S:1:pos:R:3 pbc="T T T"
V 1.458 -3.585 -1.107
Te 2.226 -0.525 -0.102
N 0.000 0.000 0.000
Sb -0.431 -2.035 1.073
Sb -0.337 -1.024 -2.078
```


Which of them is most stable, and which least? Most stable: two; least stable: one.


one:
Entry from the Alexandria database: SbTe2WN after structural relaxation (PBE-GGA).

ρ	9.4	g cm⁻³
symmetry	No. 123

The structure in extended XYZ format:
```
5
Lattice="-0.480 -4.607 -0.701 1.210 -0.804 4.453 -4.423 0.270 1.251" Properties=species:S:1:pos:R:3 pbc="T T T"
Sb -2.212 0.135 0.626
Te 0.605 -0.402 2.227
Te -0.240 -2.303 -0.351
N 0.000 0.000 0.000
W -1.846 -2.570 2.501
```


two:
Entry from the Alexandria database: SbTe2WN after structural relaxation (PBE-GGA).

ρ	8.2	g cm⁻³
symmetry	No. 123

The structure in extended XYZ format:
```
5
Lattice="5.505 0.000 0.000 0.000 5.505 0.000 0.000 0.000 3.836" Properties=species:S:1:pos:R:3 pbc="T T T"
N 0.000 0.000 1.918
Sb 2.753 2.753 1.918
Te 0.000 2.753 0.000
Te 2.753 0.000 0.000
W 0.000 0.000 0.000
```


Which of them is most stable, and which least? Most stable: two; least stable: one.


one:
Entry from the Alexandria database: SbTe2WN after structural relaxation (PBE-GGA).

ρ	7.6	g cm⁻³
symmetry	No. 123

The structure in extended XYZ format:
```
5
Lattice="5.710 0.000 0.000 0.000 5.710 0.000 0.000 0.000 3.874" Properties=species:S:1:pos:R:3 pbc="T T T"
Te 0.000 2.855 0.000
Te 2.855 0.000 0.000
N 0.000 0.000 1.937
Sb 0.000 0.000 0.000
W 2.855 2.855 1.937
```


two:
Entry from the Alexandria database: SbTe2WN after structural relaxation (PBE-GGA).

ρ	6.4	g cm⁻³
symmetry	No. 123

The structure in extended XYZ format:
```
5
Lattice="-2.800 -3.792 -2.440 -1.210 -2.135 4.707 -4.359 3.049 0.263" Properties=species:S:1:pos:R:3 pbc="T T T"
Te -1.400 -1.896 -1.220
Te -0.605 -1.068 2.353
N -4.184 -1.439 1.264
W 0.000 0.000 0.000
Sb -2.179 1.524 0.131
```


three:
Entry from the Alexandria database: SbTe2WN after structural relaxation (PBE-GGA).

ρ	8.7	g cm⁻³
symmetry	No. 123

The structure in extended XYZ format:
```
5
Lattice="-3.102 -1.193 4.140 -2.315 -2.066 -2.330 2.920 -4.333 0.940" Properties=species:S:1:pos:R:3 pbc="T T T"
W -1.158 -1.033 -1.165
Sb -1.248 -3.796 1.375
N 0.000 0.000 0.000
Te -1.551 -0.596 2.070
Te 1.460 -2.166 0.470
```


Which of them is most stable, and which least? Most stable: three; least stable: one.


one:
Entry from the Alexandria database: ZrSb2TeN after structural relaxation (PBE-GGA).

ρ	4.6	g cm⁻³
symmetry	No. 123

The structure in extended XYZ format:
```
5
Lattice="5.581 0.000 0.000 0.000 5.581 0.000 0.000 0.000 5.579" Properties=species:S:1:pos:R:3 pbc="T T T"
Sb 0.000 2.790 0.000
Sb 2.790 0.000 0.000
N 2.790 2.790 2.789
Te 0.000 0.000 2.789
Zr 0.000 0.000 0.000
```


two:
Entry from the Alexandria database: ZrSb2TeN after structural relaxation (PBE-GGA).

ρ	5.8	g cm⁻³
symmetry	No. 123

The structure in extended XYZ format:
```
5
Lattice="5.807 0.000 0.000 0.000 5.807 0.000 0.000 0.000 4.024" Properties=species:S:1:pos:R:3 pbc="T T T"
Zr 0.000 0.000 0.000
Sb 0.000 2.903 0.000
Sb 2.903 0.000 0.000
N 0.000 0.000 2.012
Te 2.903 2.903 2.012
```


three:
Entry from the Alexandria database: ZrSb2TeN after structural relaxation (PBE-GGA).

ρ	7.5	g cm⁻³
symmetry	No. 123

The structure in extended XYZ format:
```
5
Lattice="4.751 0.000 0.000 0.000 4.751 0.000 0.000 0.000 4.662" Properties=species:S:1:pos:R:3 pbc="T T T"
Te 0.000 0.000 2.331
N 0.000 0.000 0.000
Sb 2.375 0.000 0.000
Sb 0.000 2.375 0.000
Zr 2.375 2.375 2.331
```


Which of them is most stable, and which least? Most stable: two; least stable: one.


one:
Entry from the Alexandria database: Th2SbN after structural relaxation (PBE-GGA).

ρ	10.4	g cm⁻³
symmetry	No. 164

The structure in extended XYZ format:
```
4
Lattice="3.900 0.002 0.000 1.948 3.379 -0.001 0.001 0.002 7.261" Properties=species:S:1:pos:R:3 pbc="T T T"
N 2.835 0.362 3.048
Th 2.834 2.614 4.428
Th 0.884 1.487 1.668
Sb 2.835 0.363 6.679
```


two:
Entry from the Alexandria database: Th2SbN after structural relaxation (PBE-GGA).

ρ	10.4	g cm⁻³
symmetry	No. 166

The structure in extended XYZ format:
```
4
Lattice="3.942 0.000 0.000 1.971 3.414 0.000 1.971 1.138 7.115" Properties=species:S:1:pos:R:3 pbc="T T T"
Th 1.971 1.138 2.216
Th 5.913 3.414 4.899
Sb 0.000 0.000 0.000
N 3.942 2.276 3.557
```


three:
Entry from the Alexandria database: Th2SbN after structural relaxation (PBE-GGA).

ρ	10.0	g cm⁻³
symmetry	No. 129

The structure in extended XYZ format:
```
8
Lattice="4.671 0.000 -0.003 0.000 4.671 -0.003 0.004 0.004 9.132" Properties=species:S:1:pos:R:3 pbc="T T T"
N 1.169 1.169 3.735
N 3.506 3.506 5.390
Th 3.505 1.170 4.562
Th 1.170 3.505 4.562
Th 1.167 1.167 1.414
Th 3.508 3.508 7.711
Sb 1.172 1.172 7.244
Sb 3.503 3.503 1.881
```


Which of them is most stable, and which least? Most stable: three; least stable: one.


one:
Entry from the Alexandria database: Th4Sb2N after structural relaxation (PBE-GGA).

ρ	10.2	g cm⁻³
symmetry	No. 139

The structure in extended XYZ format:
```
7
Lattice="-3.510 -0.171 3.269 1.106 -4.573 0.949 6.558 4.888 3.773" Properties=species:S:1:pos:R:3 pbc="T T T"
Th 0.553 -2.287 0.474
Th 2.394 -0.683 6.058
Th 1.760 0.827 1.933
Th -1.755 -0.085 1.635
N 0.000 0.000 0.000
Sb 3.829 1.799 4.206
Sb 0.324 -1.655 3.785
```


two:
Entry from the Alexandria database: Th4Sb2N after structural relaxation (PBE-GGA).

ρ	9.9	g cm⁻³
symmetry	No. 11

The structure in extended XYZ format:
```
14
Lattice="-3.845 4.191 5.002 2.931 -3.282 5.003 6.952 4.127 -1.366" Properties=species:S:1:pos:R:3 pbc="T T T"
Sb 2.880 1.873 1.760
Sb 6.327 4.039 1.160
Sb -0.289 0.998 7.479
Sb 3.158 3.163 6.880
Th -2.057 3.183 5.512
Th 6.159 1.882 6.420
Th -0.121 3.154 2.219
Th 8.095 1.853 3.128
Th 1.292 1.572 4.631
Th 1.575 5.415 4.848
Th 4.463 -0.379 3.792
Th 4.746 3.464 4.008
N 2.439 -0.438 4.939
N 3.599 5.474 3.701
```


Which of them is most stable, and which least? Most stable: one; least stable: two.